(1)
## AlFeSb2 (GGA-PBEsol)

Data for an optimized crystal structure of AlFeSb2.

Lattice parameters (Å, degrees): 5.723 5.723 5.723 139.12 139.12 59.20
Sites, in units of the cell vectors:
Al (0.000, 0.000, 0.000)
Fe (0.750, 0.250, 0.500)
Sb (0.250, 0.750, 0.500)
Sb (0.500, 0.500, 0.000)

Output
Space-group type: I-4m2
N(E_F) in states/eV per cell: 5.05
Formation energy from raw total energies in eV/atom: 0.455
Total magnetization in μB/cell: 2.6

(2)
## BaInRh (GGA-PBEsol)

Data for an optimized crystal structure of BaInRh.

Lattice parameters (Å, degrees): 4.537 4.537 4.779 90.00 90.00 120.00
Sites, in units of the cell vectors:
Ba (0.000, 0.000, 0.000)
In (0.333, 0.667, 0.500)
Rh (0.667, 0.333, 0.500)

Output
Space-group type: P-6m2
ΔH_f (0 K) in eV/atom: -0.266
N(E_F) in states/eV per cell: 1.45
Total magnetization in μB/cell: 0.0

How do the records compare in calculated density? In the order shown, they have 6.8; 6.9 Mg/m³.